Density functional theory data (PBE+U) for a geometry-optimized Li2PaWO6 structure.

The value obtained for the raw total energy is -76.569 eV/cell. The value obtained for the size of the total moment is 0.10 μB per atom. Its volume is 12.3 Å³ per atom.

Cell lengths 5.256, 5.305, 5.872 Å; angles 64.05, 63.65, 60.44 degrees
Space group P-1 (No. 2)
One atom of each set of equivalent atoms:
Li  0.214  0.201  0.375
Pa  0.000  0.000  0.000
W  0.500  0.500  0.500
O  0.121  0.763  0.727
O  0.259  0.596  0.278
O  0.387  0.128  0.730